[1]
Compound: Tb2Pm5Tm5
Source: the Alexandria database
Functional: PBE-GGA
Structure: relaxed

```
data_Tb2Pm5Tm5
_chemical_formula_sum 'Tb4 Pm10 Tm10'
_symmetry_space_group_name_H-M 'C 1 2/m 1'
_symmetry_Int_Tables_number 12
_symmetry_space_group_name_Hall '-C 2y'
_cell_length_a 15.1209
_cell_length_b 5.0339
_cell_length_c 11.3078
_cell_angle_alpha 90.00
_cell_angle_beta 116.56
_cell_angle_gamma 90.00
loop_
_atom_site_label
_atom_site_type_symbol
_atom_site_fract_x
_atom_site_fract_y
_atom_site_fract_z
Tb1 Tb 0.0830 0.0000 0.2481
Pm1 Pm 0.0000 0.5000 0.0000
Pm2 Pm 0.0849 0.5000 0.7508
Pm3 Pm 0.1656 0.5000 0.4990
Tm1 Tm 0.0000 0.0000 0.5000
Tm2 Tm 0.1683 0.0000 0.0012
Tm3 Tm 0.2491 0.5000 0.2478
```

Properties
total energy: -4.594 eV per atom


[2]
Compound: Tb5PmTm3
Source: the Alexandria database
Functional: PBE-GGA
Structure: relaxed

```
data_Tb5PmTm3
_chemical_formula_sum 'Tb20 Pm4 Tm12'
_symmetry_space_group_name_H-M 'C 1 2/m 1'
_symmetry_Int_Tables_number 12
_symmetry_space_group_name_Hall '-C 2y'
_cell_length_a 16.8160
_cell_length_b 7.9816
_cell_length_c 12.1787
_cell_angle_alpha 90.00
_cell_angle_beta 130.76
_cell_angle_gamma 90.00
loop_
_atom_site_label
_atom_site_type_symbol
_atom_site_fract_x
_atom_site_fract_y
_atom_site_fract_z
Tb1 Tb 0.0000 0.1794 0.0000
Tb2 Tb 0.0638 0.2935 0.7785
Tb3 Tb 0.1259 0.5000 0.5680
Tb4 Tb 0.2002 0.0000 0.0694
Pm1 Pm 0.2355 0.5000 0.1312
Tm1 Tm 0.0000 0.0000 0.5000
Tm2 Tm 0.0000 0.5000 0.0000
Tm3 Tm 0.1199 0.0000 0.3183
Tm4 Tm 0.1699 0.5000 0.3378
```

Properties
relative energy among the computed polymorphs: 3.269 eV per formula unit


[3]
Compound: Tb6Pm7Tm16
Source: the Alexandria database
Functional: PBE-GGA
Structure: relaxed

```
data_Tb6Pm7Tm16
_chemical_formula_sum 'Tb24 Pm28 Tm64'
_symmetry_space_group_name_H-M 'F m -3 m'
_symmetry_Int_Tables_number 225
_symmetry_space_group_name_Hall '-F 4 2 3'
_cell_length_a 15.5403
_cell_length_b 15.5403
_cell_length_c 15.5403
_cell_angle_alpha 90.00
_cell_angle_beta 90.00
_cell_angle_gamma 90.00
loop_
_atom_site_label
_atom_site_type_symbol
_atom_site_fract_x
_atom_site_fract_y
_atom_site_fract_z
Tb1 Tb 0.0000 0.0000 0.2246
Pm1 Pm 0.0000 0.0000 0.0000
Pm2 Pm 0.0000 0.2500 0.2500
Tm1 Tm 0.1137 0.1137 0.3863
Tm2 Tm 0.1487 0.1487 0.1487
```

Properties
total energy: -4.379 eV per atom


[4]
Compound: Tb3PmTm8
Source: the Alexandria database
Functional: PBE-GGA
Structure: relaxed

```
data_Tb3PmTm8
_chemical_formula_sum 'Tb6 Pm2 Tm16'
_symmetry_space_group_name_H-M 'C 1 m 1'
_symmetry_Int_Tables_number 8
_symmetry_space_group_name_Hall 'C -2y'
_cell_length_a 10.9782
_cell_length_b 10.8941
_cell_length_c 6.6979
_cell_angle_alpha 90.00
_cell_angle_beta 111.07
_cell_angle_gamma 90.00
loop_
_atom_site_label
_atom_site_type_symbol
_atom_site_fract_x
_atom_site_fract_y
_atom_site_fract_z
Tb1 Tb 0.0000 0.0000 0.0000
Tb2 Tb 0.4507 0.2208 0.7202
Pm1 Pm 0.0721 0.5000 0.1148
Tm1 Tm 0.1192 0.2201 0.3901
Tm2 Tm 0.1695 0.5000 0.6693
Tm3 Tm 0.2337 0.0000 0.7764
Tm4 Tm 0.2849 0.2755 0.0563
Tm5 Tm 0.3335 0.0000 0.3312
Tm6 Tm 0.4037 0.5000 0.4425
```

Properties
total energy: -4.465 eV per atom


[5]
Compound: Tb2PmTm6
Source: the Alexandria database
Functional: PBE-GGA
Structure: relaxed

```
data_Tb2PmTm6
_chemical_formula_sum 'Tb8 Pm4 Tm24'
_symmetry_space_group_name_H-M 'C 1 2/c 1'
_symmetry_Int_Tables_number 15
_symmetry_space_group_name_Hall '-C 2yc'
_cell_length_a 12.7094
_cell_length_b 13.9905
_cell_length_c 6.4954
_cell_angle_alpha 90.00
_cell_angle_beta 103.08
_cell_angle_gamma 90.00
loop_
_atom_site_label
_atom_site_type_symbol
_atom_site_fract_x
_atom_site_fract_y
_atom_site_fract_z
Tb1 Tb 0.1410 0.0254 0.3701
Pm1 Pm 0.0000 0.3785 0.2500
Tm1 Tm 0.0351 0.1859 0.0007
Tm2 Tm 0.1344 0.4137 0.8191
Tm3 Tm 0.2392 0.2017 0.7319
```

Properties
total energy: -4.438 eV per atom


[6]
Compound: Tb2Pm7Tm
Source: the Alexandria database
Functional: PBE-GGA
Structure: relaxed

```
data_Tb2Pm7Tm
_chemical_formula_sum 'Tb4 Pm14 Tm2'
_symmetry_space_group_name_H-M 'C m m m'
_symmetry_Int_Tables_number 65
_symmetry_space_group_name_Hall '-C 2 2'
_cell_length_a 8.7519
_cell_length_b 16.8474
_cell_length_c 5.5166
_cell_angle_alpha 90.00
_cell_angle_beta 90.00
_cell_angle_gamma 90.00
loop_
_atom_site_label
_atom_site_type_symbol
_atom_site_fract_x
_atom_site_fract_y
_atom_site_fract_z
Tb1 Tb 0.0000 0.2055 0.0000
Pm1 Pm 0.0000 0.0000 0.0000
Pm2 Pm 0.0000 0.2907 0.5000
Pm3 Pm 0.1789 0.3895 0.0000
Tm1 Tm 0.0000 0.5000 0.5000
```

Properties
total energy: -4.051 eV per atom


[7]
Compound: TbPm12Tm3
Source: the Alexandria database
Functional: PBE-GGA
Structure: relaxed

```
data_TbPm12Tm3
_chemical_formula_sum 'Tb1 Pm12 Tm3'
_symmetry_space_group_name_H-M 'P 4/m m m'
_symmetry_Int_Tables_number 123
_symmetry_space_group_name_Hall '-P 4 2'
_cell_length_a 5.1113
_cell_length_b 5.1113
_cell_length_c 20.3923
_cell_angle_alpha 90.00
_cell_angle_beta 90.00
_cell_angle_gamma 90.00
loop_
_atom_site_label
_atom_site_type_symbol
_atom_site_fract_x
_atom_site_fract_y
_atom_site_fract_z
Tb1 Tb 0.0000 0.0000 0.0000
Pm1 Pm 0.0000 0.5000 0.1259
Pm2 Pm 0.0000 0.5000 0.3753
Pm3 Pm 0.5000 0.5000 0.0000
Pm4 Pm 0.5000 0.5000 0.2508
Pm5 Pm 0.5000 0.5000 0.5000
Tm1 Tm 0.0000 0.0000 0.2507
Tm2 Tm 0.0000 0.0000 0.5000
```

Properties
total energy: -4.676 eV per atom


[8]
Compound: TbPm4Tm5
Source: the Alexandria database
Functional: PBE-GGA
Structure: relaxed

```
data_TbPm4Tm5
_chemical_formula_sum 'Tb1 Pm4 Tm5'
_symmetry_space_group_name_H-M 'P -1'
_symmetry_Int_Tables_number 2
_symmetry_space_group_name_Hall '-P 1'
_cell_length_a 3.5075
_cell_length_b 8.6903
_cell_length_c 11.1800
_cell_angle_alpha 90.13
_cell_angle_beta 90.01
_cell_angle_gamma 101.58
loop_
_atom_site_label
_atom_site_type_symbol
_atom_site_fract_x
_atom_site_fract_y
_atom_site_fract_z
Tb1 Tb 0.0000 0.0000 0.0000
Pm1 Pm 0.1541 0.3138 0.2498
Pm2 Pm 0.4676 0.9363 0.2512
Tm1 Tm 0.0000 0.0000 0.5000
Tm2 Tm 0.3270 0.6523 0.0500
Tm3 Tm 0.3277 0.6539 0.4523
```

Properties
relative energy among the computed polymorphs: 0.000 eV per formula unit


Record-wise spin magnetization values, in μB per cell: 0.0; 0.0; 0.0; 0.0; 0.0; 0.0; 0.0; 0.0